# TcGe2W2 PBE optimized geometry
# D(E_F) = 6.88 states/eV per cell
# Raw total energy = -87.495 eV/cell
# Energy of formation = 0.352 eV/atom
data_TcGe2W2
_chemical_formula_sum 'Tc2 Ge4 W4'
_cell_length_a 6.821
_cell_length_b 6.821
_cell_length_c 3.327
_cell_angle_alpha 90.00
_cell_angle_beta 90.00
_cell_angle_gamma 90.00
_symmetry_space_group_name_H-M 'P 4/m b m'
_symmetry_Int_Tables_number 127
_symmetry_space_group_name_Hall '-P 4 2ab'
loop_
_atom_site_label
_atom_site_fract_x
_atom_site_fract_y
_atom_site_fract_z
_atom_site_occupancy
Tc1 0.000 0.000 0.000 1
Ge1 0.147 0.353 0.000 1
W1 0.150 0.650 0.500 1

---

# Ta2CoNiH PBE optimized geometry
# D(E_F) = 5.40 states/eV per cell
# Offset from the most stable computed form = 0.000 eV/atom
# Raw total energy = -40.509 eV/cell
data_Ta2CoNiH
_chemical_formula_sum 'Ta2 Co1 Ni1 H1'
_cell_length_a 4.034
_cell_length_b 4.034
_cell_length_c 3.665
_cell_angle_alpha 90.00
_cell_angle_beta 90.00
_cell_angle_gamma 90.00
_symmetry_space_group_name_H-M 'P 4/m m m'
_symmetry_Int_Tables_number 123
_symmetry_space_group_name_Hall '-P 4 2'
loop_
_atom_site_label
_atom_site_fract_x
_atom_site_fract_y
_atom_site_fract_z
_atom_site_occupancy
Ta1 0.000 0.500 0.000 1
Co1 0.000 0.000 0.500 1
Ni1 0.500 0.500 0.500 1
H1 0.000 0.000 0.000 1

---

# CaScS2 PBE optimized geometry
# D(E_F) = 6.80 states/eV per cell
# Offset from the most stable computed form = 0.081 eV/atom
# Raw total energy = -72.495 eV/cell
# Raw formation energy = -1.89 eV per atom
data_CaScS2
_chemical_formula_sum 'Ca3 Sc3 S6'
_cell_length_a 3.7617
_cell_length_b 3.7617
_cell_length_c 19.9686
_cell_angle_alpha 90.00
_cell_angle_beta 90.00
_cell_angle_gamma 120.00
_symmetry_space_group_name_H-M 'R 3 m'
_symmetry_Int_Tables_number 160
_symmetry_space_group_name_Hall 'R 3 -2"'
loop_
_atom_site_label
_atom_site_fract_x
_atom_site_fract_y
_atom_site_fract_z
_atom_site_occupancy
Ca1 0.0000 0.0000 0.0000 1
Sc1 0.0000 0.0000 0.8261 1
S1 0.0000 0.0000 0.2379 1
S2 0.0000 0.0000 0.4203 1

---

# Zr4HN PBE optimized geometry
# D(E_F) = 13.91 states/eV per cell
# Offset from the most stable computed form = 0.000 eV/atom
# Raw total energy = -201.369 eV/cell
data_Zr4HN
_chemical_formula_sum 'Zr16 H4 N4'
_cell_length_a 7.532
_cell_length_b 7.532
_cell_length_c 7.082
_cell_angle_alpha 90.00
_cell_angle_beta 90.00
_cell_angle_gamma 90.00
_symmetry_space_group_name_H-M 'I 41 m d'
_symmetry_Int_Tables_number 109
_symmetry_space_group_name_Hall 'I 4bw -2'
loop_
_atom_site_label
_atom_site_fract_x
_atom_site_fract_y
_atom_site_fract_z
_atom_site_occupancy
Zr1 0.000 0.276 0.000 1
Zr2 0.000 0.290 0.549 1
H1 0.000 0.000 0.104 1
N1 0.000 0.000 0.526 1

---

Number 1: ρ 13.1 g/cm3. Number 2: ρ 13.4 g/cm3. Number 3: ρ 3.0 g/cm3. Number 4: ρ 6.3 g/cm3.